HfSiTc | PBE | optimized geometry

Summary:
The value obtained for the excess energy over the best structure of this formula in the dataset is 752.4 meV/atom. The volume is 53.8 Å³ per cell. The calculation puts the total moment at 0.0 Bohr magnetons per cell.

a b c (Å): 4.238 4.238 4.238
angles (deg): 60.00 60.00 60.00
Fractional coordinates of all 3 atoms:
Hf1 0.250 0.250 0.250
Si1 0.000 0.000 0.000
Tc1 0.750 0.750 0.750



Dy3Y2Lu2Ni2Te2 | PBE | optimized geometry

Summary:
The value obtained for the excess energy over the best structure of this formula in the dataset is 0.0 meV/atom. The volume is 285.0 Å³ per cell. The calculation puts the total moment at 0.0 Bohr magnetons per cell.

a b c (Å): 9.321 9.321 9.321
angles (deg): 156.20 66.95 118.46
Fractional coordinates of all 11 atoms:
Dy1 0.263 0.895 0.368
Dy2 0.978 0.478 0.500
Dy3 0.527 0.895 0.632
Lu1 0.281 0.097 0.185
Lu2 0.912 0.097 0.815
Ni1 0.668 0.406 0.262
Ni2 0.145 0.406 0.738
Te1 0.241 0.241 0.000
Te2 0.641 0.141 0.500
Y1 0.892 0.746 0.147
Y2 0.599 0.746 0.853



Ac2IrPt | PBE | optimized geometry

Summary:
The volume is 216.9 Å³ per cell. The calculation puts the total moment at 0.0 Bohr magnetons per cell. The formation energy comes out at -0.887 eV/atom.

a b c (Å): 6.167 4.500 8.313
angles (deg): 90.00 109.91 90.00
Fractional coordinates of all 8 atoms:
Ac1 0.275 0.750 0.063
Ac2 0.729 0.250 0.427
Ac3 0.271 0.750 0.573
Ac4 0.725 0.250 0.937
Ir1 0.823 0.750 0.207
Ir2 0.177 0.250 0.793
Pt1 0.179 0.250 0.295
Pt2 0.821 0.750 0.705



K3FeCl5 | PBE | optimized geometry

Summary:
The energy is -69.3 eV for the cell shown. The volume is 504.7 Å³ per cell. The calculation puts the total moment at 8.0 Bohr magnetons per cell.

a b c (Å): 9.264 9.264 9.264
angles (deg): 125.80 125.80 80.21
Site moments in Bohr magnetons follow the coordinates.
Fractional coordinates of all 18 atoms:
Cl1 0.000 0.000 0.000  0.01
Cl2 0.500 0.500 0.000  0.01
Cl3 0.500 0.000 0.202  0.07
Cl4 0.201 0.701 0.202  0.07
Cl5 0.000 0.201 0.500  0.07
Cl6 0.701 0.500 0.500  0.07
Cl7 0.299 0.500 0.500  0.07
Cl8 0.000 0.799 0.500  0.07
Cl9 0.799 0.299 0.798  0.07
Cl10 0.500 0.000 0.798  0.07
Fe1 0.750 0.250 0.500  3.40
Fe2 0.250 0.750 0.500  3.40
K1 0.250 0.250 0.000  0.00
K2 0.750 0.750 0.000  0.00
K3 0.838 0.338 0.176  0.00
K4 0.338 0.162 0.500  0.00
K5 0.662 0.838 0.500  0.00
K6 0.162 0.662 0.824  0.00



TlCuTcPd | PBE | optimized geometry

Summary:
The value obtained for the excess energy over the best structure of this formula in the dataset is 0.0 meV/atom. The volume is 66.0 Å³ per cell. The calculation puts the total moment at 2.5 Bohr magnetons per cell.

a b c (Å): 4.536 4.536 4.536
angles (deg): 60.00 60.00 60.00
Fractional coordinates of all 4 atoms:
Cu1 0.750 0.750 0.750
Pd1 0.250 0.250 0.250
Tc1 0.500 0.500 0.500
Tl1 0.000 0.000 0.000



CsGdBi | PBE | optimized geometry

Summary:
The energy is -7.6 eV for the cell shown. The volume is 128.2 Å³ per cell. The calculation puts the total moment at 0.7 Bohr magnetons per cell.

a b c (Å): 5.659 5.659 5.659
angles (deg): 60.00 60.00 60.00
Site moments in Bohr magnetons follow the coordinates.
Fractional coordinates of all 3 atoms:
Bi1 0.750 0.750 0.750  -0.04
Cs1 0.000 0.000 0.000  0.03
Gd1 0.250 0.250 0.250  0.41



BeNiBW | PBE | optimized geometry

Summary:
The value obtained for the excess energy over the best structure of this formula in the dataset is 0.0 meV/atom. The volume is 42.5 Å³ per cell. The calculation puts the total moment at 0.0 Bohr magnetons per cell.

a b c (Å): 3.916 3.916 3.916
angles (deg): 60.00 60.00 60.00
Fractional coordinates of all 4 atoms:
B1 0.000 0.000 0.000
Be1 0.250 0.250 0.250
Ni1 0.500 0.500 0.500
W1 0.750 0.750 0.750



RbCdSnAu | PBE | optimized geometry

Summary:
The value obtained for the excess energy over the best structure of this formula in the dataset is 91.5 meV/atom. The volume is 106.3 Å³ per cell.

a b c (Å): 5.317 5.317 5.317
angles (deg): 60.00 60.00 60.00
Fractional coordinates of all 4 atoms:
Au1 0.750 0.750 0.750
Cd1 0.500 0.500 0.500
Rb1 0.250 0.250 0.250
Sn1 0.000 0.000 0.000



LiHfHg | PBE | optimized geometry

Summary:
The value obtained for the excess energy over the best structure of this formula in the dataset is 280.1 meV/atom. The volume is 57.8 Å³ per cell. The calculation puts the total moment at 0.0 Bohr magnetons per cell.

a b c (Å): 6.408 6.408 6.408
angles (deg): 152.03 152.03 39.97
Fractional coordinates of all 3 atoms:
Hf1 0.666 0.666 0.000
Hg1 0.986 0.986 0.000
Li1 0.348 0.348 0.000



NdSm2Cu4Pb4 | PBE | optimized geometry

Summary:
The energy is -47.2 eV for the cell shown. The volume is 251.8 Å³ per cell. The calculation puts the total moment at 0.0 Bohr magnetons per cell.

a b c (Å): 8.721 8.721 8.721
angles (deg): 149.20 131.66 58.42
Fractional coordinates of all 11 atoms:
Cu1 0.647 0.331 0.316
Cu2 0.985 0.669 0.316
Cu3 0.015 0.331 0.684
Cu4 0.353 0.669 0.684
Nd1 0.000 0.000 0.000
Pb1 0.217 0.217 0.000
Pb2 0.783 0.783 0.000
Pb3 0.705 0.500 0.205
Pb4 0.295 0.500 0.795
Sm1 0.633 0.133 0.500
Sm2 0.367 0.867 0.500



K2PdSe3 | PBE | optimized geometry

Summary:
The energy is -43.6 eV for the cell shown. The volume is 333.4 Å³ per cell.

a b c (Å): 6.128 6.639 9.072
angles (deg): 102.58 101.64 105.59
Fractional coordinates of all 12 atoms:
K1 0.277 0.360 0.089
K2 0.855 0.187 0.320
K3 0.145 0.813 0.680
K4 0.723 0.640 0.911
Pd1 0.315 0.911 0.350
Pd2 0.685 0.089 0.650
Se1 0.345 0.884 0.066
Se2 0.884 0.679 0.287
Se3 0.608 0.739 0.443
Se4 0.392 0.261 0.557
Se5 0.116 0.321 0.713
Se6 0.655 0.116 0.934



ThBi | PBE | optimized geometry

Summary:
The energy is -48.5 eV for the cell shown. The volume is 257.9 Å³ per cell. The calculation puts the total moment at 0.0 Bohr magnetons per cell.

a b c (Å): 6.669 6.030 6.414
angles (deg): 90.00 90.00 90.00
Fractional coordinates of all 8 atoms:
Bi1 0.750 0.500 0.017
Bi2 0.250 0.000 0.288
Bi3 0.750 0.000 0.712
Bi4 0.250 0.500 0.983
Th1 0.750 0.000 0.222
Th2 0.000 0.500 0.500
Th3 0.500 0.500 0.500
Th4 0.250 0.000 0.778



Er2Si2Ag | PBE | optimized geometry

Summary:
The energy is -49.2 eV for the cell shown. The volume is 223.9 Å³ per cell. The calculation puts the total moment at 0.0 Bohr magnetons per cell.

a b c (Å): 3.739 3.739 18.490
angles (deg): 90.00 90.00 120.00
Fractional coordinates of all 10 atoms:
Ag1 0.000 0.000 0.250
Ag2 0.000 0.000 0.750
Er1 0.667 0.333 0.137
Er2 0.667 0.333 0.363
Er3 0.333 0.667 0.637
Er4 0.333 0.667 0.863
Si1 0.333 0.667 0.028
Si2 0.333 0.667 0.472
Si3 0.667 0.333 0.528
Si4 0.667 0.333 0.972



NaZrSnIr | PBE | optimized geometry

Summary:
The value obtained for the excess energy over the best structure of this formula in the dataset is 292.8 meV/atom. The volume is 78.2 Å³ per cell. The calculation puts the total moment at 0.0 Bohr magnetons per cell.

a b c (Å): 4.799 4.799 4.799
angles (deg): 60.00 60.00 60.00
Fractional coordinates of all 4 atoms:
Ir1 0.000 0.000 0.000
Na1 0.750 0.750 0.750
Sn1 0.500 0.500 0.500
Zr1 0.250 0.250 0.250



In2TcGe | PBE | optimized geometry

Summary:
The energy is -18.2 eV for the cell shown. The volume is 77.4 Å³ per cell. The calculation puts the total moment at 0.7 Bohr magnetons per cell.

a b c (Å): 4.784 4.784 4.784
angles (deg): 60.00 60.00 60.00
Site moments in Bohr magnetons follow the coordinates.
Fractional coordinates of all 4 atoms:
Ge1 0.250 0.250 0.250  -0.01
In1 0.500 0.500 0.500  0.00
In2 0.750 0.750 0.750  0.01
Tc1 0.000 0.000 0.000  0.64



LaNdW | PBE | optimized geometry

Summary:
The value obtained for the excess energy over the best structure of this formula in the dataset is 0.0 meV/atom. The volume is 87.7 Å³ per cell. The calculation puts the total moment at 0.0 Bohr magnetons per cell. The formation energy comes out at 0.764 eV/atom.

a b c (Å): 4.988 4.988 4.988
angles (deg): 60.00 60.00 60.00
Fractional coordinates of all 3 atoms:
La1 0.250 0.250 0.250
Nd1 0.750 0.750 0.750
W1 0.000 0.000 0.000



Tb3PSe2 | PBE | optimized geometry

Summary:
The value obtained for the excess energy over the best structure of this formula in the dataset is 0.0 meV/atom. The volume is 143.6 Å³ per cell. The calculation puts the total moment at 0.0 Bohr magnetons per cell.

a b c (Å): 7.112 7.112 7.112
angles (deg): 146.97 132.41 59.15
Fractional coordinates of all 6 atoms:
P1 0.000 0.000 0.000
Se1 0.330 0.330 0.000
Se2 0.670 0.670 0.000
Tb1 0.500 0.000 0.500
Tb2 0.848 0.348 0.500
Tb3 0.152 0.652 0.500



SmW | PBE | optimized geometry

Summary:
The value obtained for the excess energy over the best structure of this formula in the dataset is 1876.4 meV/atom. The volume is 71.7 Å³ per cell. The calculation puts the total moment at 3.0 Bohr magnetons per cell. The formation energy comes out at 2.839 eV/atom.

a b c (Å): 4.662 4.662 4.662
angles (deg): 60.00 60.00 60.00
Site moments in Bohr magnetons follow the coordinates.
Fractional coordinates of all 2 atoms:
Sm1 0.000 0.000 0.000  0.26
W1 0.250 0.250 0.250  2.24



GdHfB | PBE | optimized geometry

Summary:
The energy is -20.9 eV for the cell shown. The volume is 58.1 Å³ per cell. The calculation puts the total moment at 0.0 Bohr magnetons per cell.

a b c (Å): 4.348 4.348 4.348
angles (deg): 60.00 60.00 60.00
Fractional coordinates of all 3 atoms:
B1 0.000 0.000 0.000
Gd1 0.250 0.250 0.250
Hf1 0.750 0.750 0.750



BaPrO3 | PBE | optimized geometry

Summary:
The energy is -68.6 eV for the cell shown. The volume is 181.7 Å³ per cell. The calculation puts the total moment at 2.0 Bohr magnetons per cell.

a b c (Å): 6.346 6.346 6.416
angles (deg): 120.23 120.23 59.70
Site moments in Bohr magnetons follow the coordinates.
Fractional coordinates of all 10 atoms:
Ba1 0.750 0.750 0.266  -0.01
Ba2 0.250 0.250 0.734  -0.01
O1 0.250 0.250 0.147  0.30
O2 0.810 0.310 0.310  0.29
O3 0.310 0.810 0.310  0.23
O4 0.690 0.190 0.690  0.23
O5 0.190 0.690 0.690  0.29
O6 0.750 0.750 0.853  0.30
Pr1 0.000 0.000 0.000  0.03
Pr2 0.500 0.500 0.500  0.03



Gd2YMg4Ga2 | PBE | optimized geometry

Summary:
The energy is -31.3 eV for the cell shown. The volume is 216.8 Å³ per cell. The calculation puts the total moment at 0.0 Bohr magnetons per cell.

a b c (Å): 4.506 7.448 7.448
angles (deg): 119.84 90.00 90.00
Fractional coordinates of all 9 atoms:
Ga1 0.500 0.667 0.334
Ga2 0.500 0.334 0.667
Gd1 0.000 0.434 0.000
Gd2 0.000 0.000 0.434
Mg1 0.500 0.253 0.253
Mg2 0.500 0.000 0.747
Mg3 0.000 0.999 0.999
Mg4 0.500 0.747 0.000
Y1 0.000 0.567 0.567



HfZr6Sn4 | PBE | optimized geometry

Summary:
The energy is -81.6 eV for the cell shown. The volume is 250.6 Å³ per cell. The calculation puts the total moment at 0.0 Bohr magnetons per cell.

a b c (Å): 8.646 8.646 8.646
angles (deg): 40.95 40.95 40.95
Fractional coordinates of all 11 atoms:
Hf1 0.000 0.000 0.000
Sn1 0.122 0.122 0.122
Sn2 0.333 0.333 0.333
Sn3 0.667 0.667 0.667
Sn4 0.878 0.878 0.878
Zr1 0.603 0.603 0.108
Zr2 0.892 0.397 0.397
Zr3 0.397 0.892 0.397
Zr4 0.603 0.108 0.603
Zr5 0.108 0.603 0.603
Zr6 0.397 0.397 0.892



ZnS | PBE | optimized geometry

Summary:
The energy is -168.4 eV for the cell shown. The volume is 958.5 Å³ per cell.

a b c (Å): 3.836 3.836 75.248
angles (deg): 88.54 91.46 120.00
Fractional coordinates of all 48 atoms:
S1 0.670 0.330 0.010
S2 0.017 0.983 0.052
S3 0.365 0.635 0.094
S4 0.712 0.288 0.135
S5 0.059 0.941 0.177
S6 0.406 0.594 0.219
S7 0.753 0.247 0.260
S8 0.101 0.899 0.302
S9 0.781 0.219 0.344
S10 0.462 0.538 0.385
S11 0.142 0.858 0.427
S12 0.823 0.177 0.469
S13 0.503 0.497 0.510
S14 0.184 0.816 0.552
S15 0.865 0.135 0.594
S16 0.545 0.455 0.635
S17 0.226 0.774 0.677
S18 0.906 0.094 0.719
S19 0.587 0.413 0.760
S20 0.267 0.733 0.802
S21 0.948 0.052 0.844
S22 0.628 0.372 0.885
S23 0.309 0.691 0.927
S24 0.990 0.010 0.969
Zn1 0.000 0.000 0.000
Zn2 0.681 0.319 0.042
Zn3 0.028 0.972 0.083
Zn4 0.375 0.625 0.125
Zn5 0.722 0.278 0.167
Zn6 0.069 0.931 0.208
Zn7 0.417 0.583 0.250
Zn8 0.764 0.236 0.292
Zn9 0.111 0.889 0.333
Zn10 0.792 0.208 0.375
Zn11 0.472 0.528 0.417
Zn12 0.153 0.847 0.458
Zn13 0.833 0.167 0.500
Zn14 0.514 0.486 0.542
Zn15 0.194 0.806 0.583
Zn16 0.875 0.125 0.625
Zn17 0.556 0.444 0.667
Zn18 0.236 0.764 0.708
Zn19 0.917 0.083 0.750
Zn20 0.597 0.403 0.792
Zn21 0.278 0.722 0.833
Zn22 0.958 0.042 0.875
Zn23 0.639 0.361 0.917
Zn24 0.319 0.681 0.958



RbMgNbSe3 | PBE | optimized geometry

Summary:
The energy is -57.1 eV for the cell shown. The volume is 324.9 Å³ per cell. The calculation puts the total moment at 4.0 Bohr magnetons per cell.

a b c (Å): 8.122 8.122 10.462
angles (deg): 90.00 90.00 151.91
Site moments in Bohr magnetons follow the coordinates.
Fractional coordinates of all 12 atoms:
Mg1 0.966 0.034 0.250  0.00
Mg2 0.034 0.966 0.750  0.00
Nb1 0.500 0.500 0.000  1.53
Nb2 0.500 0.500 0.500  1.53
Rb1 0.248 0.752 0.250  0.01
Rb2 0.752 0.248 0.750  0.01
Se1 0.882 0.118 0.043  0.01
Se2 0.567 0.433 0.250  0.00
Se3 0.882 0.118 0.457  0.01
Se4 0.118 0.882 0.543  0.01
Se5 0.433 0.567 0.750  0.00
Se6 0.118 0.882 0.957  0.01